No. 1
## USICl (PBE)

Data for a relaxed structure of USICl.

Cell lengths 4.4752, 4.4759, 8.2876 Å; angles 74.42, 74.34, 60.01 degrees
Last column: nearest neighbours and their distance in Å.
Fractional positions:
S 0.7591 0.0439 0.4379  3 U 2.64
U 0.1158 0.4003 0.3681  3 S 2.64, 1 I 2.94
I 0.9908 0.2772 0.7413  1 U 2.94
Cl 0.5124 0.7957 0.1795  3 U 2.98, 3 S 3.29

Values from the calculation:
**Symmetry**: Cm
**Size of the total moment**: 2.00 μB/cell
**Raw formation energy**: -1.127 eV/atom
**Uncorrected energy**: -5.83 eV per atom

***

No. 2
## VS2ICl (PBE)

Data for a relaxed structure of VS2ICl.

Cell lengths 5.1472, 5.1472, 5.3009 Å; angles 90.00, 90.00, 90.00 degrees
Last column: nearest neighbours and their distance in Å.
Fractional positions:
V 0.5000 0.5000 0.5000  4 Cl 3.64, 8 S 3.69
S 0.0000 0.5000 0.0000  2 I 2.57
S 0.5000 0.0000 0.0000  2 I 2.57
I 0.0000 0.0000 0.0000  4 S 2.57, 2 Cl 2.65
Cl 0.0000 0.0000 0.5000  2 I 2.65

Values from the calculation:
**Excess energy over the best structure of this formula in the dataset**: 1.069 eV/atom
**Symmetry**: P4/mmm
**Size of the total moment**: 3.32 μB/cell
**Raw formation energy**: 0.945 eV/atom
**Uncorrected energy**: -3.21 eV per atom

***

No. 3
## VS2ICl (PBE)

Data for a relaxed structure of VS2ICl.

Cell lengths 4.6848, 4.6848, 4.7356 Å; angles 90.00, 90.00, 90.00 degrees
Last column: nearest neighbours and their distance in Å.
Fractional positions:
Cl 0.0000 0.0000 0.5000  2 V 2.37
S 0.5000 0.0000 0.0000  2 V 2.34
V 0.0000 0.0000 0.0000  4 S 2.34, 2 Cl 2.37
I 0.5000 0.5000 0.5000  4 Cl 3.31, 8 S 3.33
S 0.0000 0.5000 0.0000  2 V 2.34

Values from the calculation:
**Excess energy over the best structure of this formula in the dataset**: 0.000 eV/atom
**Symmetry**: P4/mmm
**Size of the total moment**: 0.04 μB/cell
**Raw formation energy**: -0.124 eV/atom
**Uncorrected energy**: -4.28 eV per atom

***

No. 4
## WS2ICl (PBE)

Data for a relaxed structure of WS2ICl.

Cell lengths 5.1419, 5.1419, 5.2311 Å; angles 90.00, 90.00, 90.00 degrees
Last column: nearest neighbours and their distance in Å.
Fractional positions:
W 0.5000 0.5000 0.5000  4 Cl 3.64, 8 S 3.67
S 0.0000 0.5000 0.0000  2 I 2.57
I 0.0000 0.0000 0.0000  4 S 2.57, 2 Cl 2.62
Cl 0.0000 0.0000 0.5000  2 I 2.62
S 0.5000 0.0000 0.0000  2 I 2.57

Values from the calculation:
**Excess energy over the best structure of this formula in the dataset**: 1.635 eV/atom
**Symmetry**: P4/mmm
**Size of the total moment**: 4.33 μB/cell
**Raw formation energy**: 1.728 eV/atom
**Uncorrected energy**: -3.19 eV per atom

***

No. 5
## WSICl2 (PBE)

Data for a relaxed structure of WSICl2.

Cell lengths 5.3913, 5.3913, 5.2389 Å; angles 90.00, 90.00, 90.00 degrees
Last column: nearest neighbours and their distance in Å.
Fractional positions:
Cl 0.0000 0.5000 0.0000  2 I 2.70
W 0.5000 0.5000 0.5000  8 Cl 3.76, 4 S 3.81
S 0.0000 0.0000 0.5000  2 I 2.62
I 0.0000 0.0000 0.0000  2 S 2.62, 4 Cl 2.70
Cl 0.5000 0.0000 0.0000  2 I 2.70

Values from the calculation:
**Excess energy over the best structure of this formula in the dataset**: 1.502 eV/atom
**Symmetry**: P4/mmm
**Size of the total moment**: 4.66 μB/cell
**Raw formation energy**: 1.562 eV/atom
**Uncorrected energy**: -2.90 eV per atom

***

No. 6
## WS2ICl (PBE)

Data for a relaxed structure of WS2ICl.

Cell lengths 4.7562, 4.7562, 4.8339 Å; angles 90.00, 90.00, 90.00 degrees
Last column: nearest neighbours and their distance in Å.
Fractional positions:
I 0.5000 0.5000 0.5000  4 Cl 3.36, 8 S 3.39
S 0.0000 0.5000 0.0000  2 W 2.38
Cl 0.0000 0.0000 0.5000  2 W 2.42
S 0.5000 0.0000 0.0000  2 W 2.38
W 0.0000 0.0000 0.0000  4 S 2.38, 2 Cl 2.42

Values from the calculation:
**Excess energy over the best structure of this formula in the dataset**: 0.000 eV/atom
**Symmetry**: P4/mmm
**Size of the total moment**: 0.00 μB/cell
**Raw formation energy**: 0.093 eV/atom
**Uncorrected energy**: -4.83 eV per atom